No. 1
{"formula": "ZrSc3", "functional": "PBE", "state": "relaxed", "polymorph_energy_ev_per_fu": 0.040, "vol_a3_per_cell": 192, "lattice_angstrom": [[-2.3295, 5.7455, -2.1806], [-3.9809, -5.2120, 0.4238], [-1.2224, 1.3234, 4.7927]], "species": ["Sc", "Sc", "Sc", "Sc", "Sc", "Zr", "Sc", "Zr"], "fractional_positions": [[0.8305, 0.6610, 0.2500], [0.1695, 0.3390, 0.7500], [0.1695, 0.8305, 0.7500], [0.8305, 0.1695, 0.2500], [0.6610, 0.8305, 0.7500], [0.6667, 0.3333, 0.7500], [0.3390, 0.1695, 0.2500], [0.3333, 0.6667, 0.2500]]}

No. 2
{"formula": "Zr5Sc2", "functional": "PBE", "state": "relaxed", "vol_a3_per_cell": 170, "e_tot_ev_per_atom": -7.64, "lattice_angstrom": [[3.0369, 0.0000, 0.7737], [1.3813, 7.3630, 0.9253], [-0.2962, -0.1777, 7.5095]], "species": ["Zr", "Zr", "Zr", "Zr", "Sc", "Sc", "Zr"], "fractional_positions": [[0.8417, 0.6558, 0.6607], [0.6325, 0.6377, 0.0973], [0.0000, 0.0000, 0.0000], [0.3675, 0.3623, 0.9027], [0.3651, 0.9083, 0.3615], [0.6349, 0.0917, 0.6385], [0.1583, 0.3442, 0.3393]]}

No. 3
{"formula": "ZrSc2", "functional": "PBE", "state": "relaxed", "vol_a3_per_cell": 143, "e_tot_ev_per_atom": -7.09, "lattice_angstrom": [[-1.8666, 0.8600, -5.7258], [-2.3496, -5.1689, -0.0322], [-3.1816, 4.6054, -1.1159]], "species": ["Zr", "Sc", "Sc", "Zr", "Sc", "Sc"], "fractional_positions": [[0.8777, 0.5552, 0.7473], [0.8695, 0.8971, 0.4325], [0.8861, 0.2135, 0.0824], [0.3778, 0.0552, 0.0933], [0.3694, 0.3969, 0.7582], [0.3861, 0.7133, 0.4082]]}

No. 4
{"formula": "Zr8Sc", "functional": "PBE", "state": "relaxed", "vol_a3_per_cell": 209, "e_tot_ev_per_atom": -8.27, "lattice_angstrom": [[-1.9458, -3.2067, -2.5340], [-2.8672, -4.9047, 4.3654], [-4.8653, 5.0849, 1.3441]], "species": ["Zr", "Zr", "Zr", "Zr", "Sc", "Zr", "Zr", "Zr", "Zr"], "fractional_positions": [[0.0000, 0.3338, 0.3338], [0.3338, 0.6662, 0.3338], [0.3333, 0.3335, 0.0000], [0.3333, 0.0000, 0.6665], [0.0000, 0.0000, 0.0000], [0.0000, 0.6662, 0.6662], [0.6667, 0.6665, 0.0000], [0.6662, 0.3338, 0.6662], [0.6667, 0.0000, 0.3335]]}

No. 5
{"formula": "Zr13Sc3", "functional": "PBE", "state": "relaxed", "polymorph_energy_ev_per_fu": 0.000, "vol_a3_per_cell": 375, "lattice_angstrom": [[-5.9461, -2.4586, 0.8173], [2.7273, -4.8751, 5.1768], [-1.5843, 5.5013, 5.0229]], "species": ["Zr", "Zr", "Zr", "Zr", "Zr", "Sc", "Sc", "Zr", "Zr", "Zr", "Zr", "Zr", "Sc", "Zr", "Zr", "Zr"], "fractional_positions": [[0.2514, 0.4584, 0.0418], [0.7486, 0.4584, 0.0418], [0.0000, 0.2077, 0.2916], [0.5000, 0.2065, 0.2914], [0.2514, 0.9582, 0.5416], [0.7502, 0.0428, 0.9572], [0.2498, 0.0428, 0.9572], [0.5000, 0.7086, 0.7935], [0.7486, 0.9582, 0.5416], [0.2498, 0.5412, 0.4588], [0.5000, 0.7903, 0.2097], [0.0000, 0.7084, 0.7923], [0.0000, 0.2923, 0.7077], [0.5000, 0.2945, 0.7055], [0.7502, 0.5412, 0.4588], [0.0000, 0.7906, 0.2094]]}

No. 6
{"formula": "Zr3Sc", "functional": "PBE", "state": "relaxed", "polymorph_energy_ev_per_fu": 0.034, "vol_a3_per_cell": 94, "lattice_angstrom": [[-2.5272, 0.3199, 1.9990], [3.0437, -0.9995, 4.0079], [1.1148, 5.5106, 0.5276]], "species": ["Sc", "Zr", "Zr", "Zr"], "fractional_positions": [[0.0000, 0.0000, 0.0033], [0.0000, 0.5000, 0.3325], [0.5000, 0.5000, 0.8308], [0.5000, 0.0000, 0.4999]]}

No. 7
{"formula": "Zr2Sc3", "functional": "PBE", "state": "relaxed", "polymorph_energy_ev_per_fu": 1.878, "vol_a3_per_cell": 135, "lattice_angstrom": [[2.4749, -4.2866, 0.0000], [2.4749, 4.2866, 0.0000], [0.0000, 0.0000, 6.3403]], "species": ["Zr", "Sc", "Sc", "Zr", "Sc"], "fractional_positions": [[0.3333, 0.6667, 0.8800], [0.3333, 0.6667, 0.3463], [0.6667, 0.3333, 0.6537], [0.6667, 0.3333, 0.1200], [0.0000, 0.0000, 0.0000]]}

No. 8
{"formula": "Zr3Sc", "functional": "PBE", "state": "relaxed", "polymorph_energy_ev_per_fu": 0.085, "vol_a3_per_cell": 94, "lattice_angstrom": [[3.2469, 0.0000, 0.0000], [-1.6234, 2.8119, 0.0000], [0.0000, 0.0000, 10.3121]], "species": ["Zr", "Sc", "Zr", "Zr"], "fractional_positions": [[0.3333, 0.6667, 0.2516], [0.0000, 0.0000, 0.0000], [0.3333, 0.6667, 0.7484], [0.0000, 0.0000, 0.5000]]}

No. 9
{"formula": "Zr3Sc5", "functional": "PBE", "state": "relaxed", "polymorph_energy_ev_per_fu": 0.000, "vol_a3_per_cell": 192, "lattice_angstrom": [[3.2580, 0.0000, 0.0000], [0.0000, 5.1616, 0.0000], [0.0000, 0.0000, 11.4023]], "species": ["Sc", "Sc", "Zr", "Zr", "Sc", "Sc", "Zr", "Sc"], "fractional_positions": [[0.5000, 0.0000, 0.2068], [0.0000, 0.0000, 0.4611], [0.0000, 0.5000, 0.7873], [0.5000, 0.0000, 0.7093], [0.0000, 0.5000, 0.2982], [0.5000, 0.5000, 0.0401], [0.5000, 0.5000, 0.5461], [0.0000, 0.0000, 0.9510]]}

No. 10
{"formula": "ZrSc3", "functional": "PBE", "state": "relaxed", "polymorph_energy_ev_per_fu": 0.000, "vol_a3_per_cell": 96, "lattice_angstrom": [[5.7177, 0.0000, 0.0000], [-2.8588, 5.3844, -0.0035], [0.0000, 0.9950, 3.1150]], "species": ["Sc", "Sc", "Zr", "Sc"], "fractional_positions": [[0.5005, 0.0022, 0.4989], [0.0802, 0.5000, 0.2500], [0.5876, 0.5000, 0.7500], [0.9983, 0.9978, 0.0011]]}

No. 11
{"formula": "Zr5Sc", "functional": "PBE", "state": "relaxed", "vol_a3_per_cell": 152, "e_tot_ev_per_atom": -7.81, "lattice_angstrom": [[-1.2081, 3.7442, -4.5988], [-2.1123, 1.2279, 5.5369], [3.9884, 2.4802, 0.9715]], "species": ["Sc", "Zr", "Zr", "Zr", "Zr", "Zr"], "fractional_positions": [[0.0000, 0.0000, 0.0000], [0.0000, 0.5000, 0.5000], [0.3333, 0.6667, 0.0000], [0.5000, 0.5000, 0.5000], [0.5000, 0.0000, 0.5000], [0.6667, 0.3333, 0.0000]]}

No. 12
{"formula": "Zr2Sc3", "functional": "PBE", "state": "relaxed", "polymorph_energy_ev_per_fu": 0.054, "vol_a3_per_cell": 119, "lattice_angstrom": [[13.3880, 0.0040, 0.0023], [-0.3865, 3.1898, 0.0000], [-0.3865, 1.5715, 2.7758]], "species": ["Sc", "Sc", "Zr", "Zr", "Sc"], "fractional_positions": [[0.6066, 0.2022, 0.2022], [0.0000, 0.0000, 0.0000], [0.2006, 0.4002, 0.4002], [0.7994, 0.5998, 0.5998], [0.3934, 0.7978, 0.7978]]}

No. 13
{"formula": "ZrSc2", "functional": "PBE", "state": "relaxed", "vol_a3_per_cell": 72, "e_tot_ev_per_atom": -7.06, "lattice_angstrom": [[7.2430, -0.0018, 0.0000], [5.8036, 4.3335, 0.0000], [-6.5233, -2.1658, 2.2840]], "species": ["Sc", "Sc", "Zr"], "fractional_positions": [[0.6730, 0.6730, 0.0000], [0.9937, 0.9937, 0.0000], [0.3333, 0.3333, 0.0000]]}

No. 14
{"formula": "ZrSc2", "functional": "PBE", "state": "relaxed", "vol_a3_per_cell": 71, "e_tot_ev_per_atom": -6.95, "lattice_angstrom": [[-3.1427, 0.7703, 1.9096], [2.9404, -4.0025, 2.7575], [2.0426, 1.6066, 2.7135]], "species": ["Sc", "Zr", "Sc"], "fractional_positions": [[0.6668, 0.3335, 0.3332], [0.0000, 0.0000, 0.0000], [0.3332, 0.6665, 0.6668]]}

No. 15
{"formula": "ZrSc2", "functional": "PBE", "state": "relaxed", "vol_a3_per_cell": 71, "e_tot_ev_per_atom": -7.05, "lattice_angstrom": [[3.2191, 0.0000, 0.0000], [0.0000, 4.5414, 0.0000], [-1.6096, -2.2707, 4.8448]], "species": ["Sc", "Sc", "Zr"], "fractional_positions": [[0.3363, 0.3363, 0.6725], [0.6637, 0.6637, 0.3275], [0.0000, 0.0000, 0.0000]]}

No. 16
{"formula": "ZrSc2", "functional": "PBE", "state": "relaxed", "vol_a3_per_cell": 85, "e_tot_ev_per_atom": -6.53, "lattice_angstrom": [[-4.8428, -1.8183, 0.4347], [1.6170, -3.4677, 3.5084], [-0.5702, 2.0709, 2.3096]], "species": ["Sc", "Zr", "Sc"], "fractional_positions": [[0.0000, 0.5000, 0.5000], [0.0000, 0.0000, 0.0000], [0.5000, 0.0000, 0.5000]]}

No. 17
{"formula": "Zr5Sc", "functional": "PBE", "state": "relaxed", "vol_a3_per_cell": 146, "e_tot_ev_per_atom": -7.90, "lattice_angstrom": [[0.0000, 4.1746, 4.1746], [4.1746, 0.0000, 4.1746], [4.1746, 4.1746, 0.0000]], "species": ["Zr", "Zr", "Zr", "Zr", "Sc", "Zr"], "fractional_positions": [[0.1265, 0.6245, 0.6245], [0.6245, 0.1265, 0.6245], [0.6245, 0.6245, 0.1265], [0.2500, 0.2500, 0.2500], [0.0000, 0.0000, 0.0000], [0.6245, 0.6245, 0.6245]]}

No. 18
{"formula": "Zr3Sc8", "functional": "PBE", "state": "relaxed", "vol_a3_per_cell": 279, "e_tot_ev_per_atom": -6.33, "lattice_angstrom": [[6.5449, 0.0893, 0.0871], [0.2554, 6.5405, 0.0871], [0.2554, 0.2490, 6.5363]], "species": ["Sc", "Sc", "Sc", "Sc", "Sc", "Sc", "Sc", "Sc", "Zr", "Zr", "Zr"], "fractional_positions": [[0.3765, 0.3765, 0.3765], [0.6235, 0.6235, 0.6235], [0.6924, 0.8591, 0.1122], [0.1409, 0.8878, 0.3076], [0.8878, 0.3076, 0.1409], [0.8591, 0.1122, 0.6924], [0.1122, 0.6924, 0.8591], [0.3076, 0.1409, 0.8878], [0.5000, 0.0000, 0.5000], [0.5000, 0.5000, 0.0000], [0.0000, 0.5000, 0.5000]]}

No. 19
{"formula": "Zr7Sc", "functional": "PBE", "state": "relaxed", "polymorph_energy_ev_per_fu": 0.000, "vol_a3_per_cell": 188, "lattice_angstrom": [[3.0151, 0.0006, 0.9599], [1.0432, 7.6159, 1.9261], [-0.8502, -0.0868, 7.8784]], "species": ["Zr", "Zr", "Zr", "Sc", "Zr", "Zr", "Zr", "Zr"], "fractional_positions": [[0.3704, 0.3938, 0.8648], [0.6296, 0.6062, 0.1352], [0.7452, 0.7541, 0.7541], [0.0000, 0.0000, 0.0000], [0.0000, 0.5000, 0.5000], [0.3704, 0.8648, 0.3938], [0.6296, 0.1352, 0.6062], [0.2548, 0.2459, 0.2459]]}

No. 20
{"formula": "Zr3Sc", "functional": "PBE", "state": "relaxed", "polymorph_energy_ev_per_fu": 0.576, "vol_a3_per_cell": 92, "lattice_angstrom": [[-2.3343, 1.3110, -1.5245], [0.1175, -3.2246, -5.0284], [-4.4608, -1.0821, 3.8245]], "species": ["Zr", "Zr", "Zr", "Sc"], "fractional_positions": [[0.0000, 0.5000, 0.5000], [0.5000, 0.5000, 0.0000], [0.5000, 0.0000, 0.5000], [0.0000, 0.0000, 0.0000]]}